Here is crystalline Ta2MnOs at its relaxed geometry from Alexandria. Energies are from GGA-PBE.

Cell and atoms, written as CIF:
```
data_Ta2MnOs
_chemical_formula_sum 'Ta2 Mn1 Os1'
_space_group_name_H-M_alt 'P 4/m m m'
_space_group_IT_number 123
_space_group_name_Hall '-P 4 2'
_cell_length_a 3.107
_cell_length_b 3.107
_cell_length_c 6.344
_cell_angle_alpha 90.00
_cell_angle_beta 90.00
_cell_angle_gamma 90.00
loop_
_atom_site_label
_atom_site_fract_x
_atom_site_fract_y
_atom_site_fract_z
Ta1 0.000 0.000 0.236
Mn1 0.500 0.500 0.000
Os1 0.500 0.500 0.500
```

For the formation energy, the calculation gives -0.27 eV/atom. The calculation puts the calculated volume at 61.2 Å³/cell. The value obtained for the density of states at the Fermi level is 2.61 states/eV/f.u. The calculation puts the energy relative to the lowest polymorph listed for this composition at 0.001 eV per atom.